No. 1
VASP calculation (PBE-GGA) on a relaxed structure of MnTl3Bi.

Lattice parameters (Å, degrees): 5.321 5.321 5.321 90.00 90.00 90.00
Space group Pm-3m (No. 221)
Asymmetric unit:
Mn: 0.000 0.000 0.000 (multiplicity 1)
Tl: 0.000 0.000 0.500 (multiplicity 3)
Bi: 0.500 0.500 0.500 (multiplicity 1)

Values from the calculation:
Polymorph energy (0 for the lowest one)   0.000 eV/atom
DOS(E_F)   3.5 states/eV/f.u.
Energy of formation from the pure elements   0.389 eV/atom


No. 2
VASP calculation (PBE-GGA) on a relaxed structure of Li2CdPd.

Lattice parameters (Å, degrees): 4.076 4.076 3.831 90.00 90.00 90.00
Space group P4/mmm (No. 123)
Asymmetric unit:
Li: 0.000 0.500 0.000 (multiplicity 2)
Cd: 0.000 0.000 0.500 (multiplicity 1)
Pd: 0.500 0.500 0.500 (multiplicity 1)

Values from the calculation:
DOS(E_F)   1.6 states/eV/f.u.
Energy of formation from the pure elements   -0.374 eV/atom


No. 3
VASP calculation (PBE-GGA) on a relaxed structure of La4AsOsCl2.

Lattice parameters (Å, degrees): 7.568 4.229 7.589 90.00 106.90 90.00
Space group P2/m (No. 10)
Asymmetric unit:
La: 0.213 0.000 0.260 (multiplicity 2)
La: 0.216 0.500 0.723 (multiplicity 2)
As: 0.000 0.500 0.000 (multiplicity 1)
Os: 0.000 0.000 0.500 (multiplicity 1)
Cl: 0.500 0.000 0.000 (multiplicity 1)
Cl: 0.500 0.500 0.500 (multiplicity 1)

Values from the calculation:
DOS(E_F)   5.7 states/eV/f.u.
Uncorrected energy   -6.197 eV per atom


No. 4
VASP calculation (PBE-GGA) on a relaxed structure of Zn2InTc.

Lattice parameters (Å, degrees): 2.814 4.307 5.515 90.00 101.55 90.00
Space group Pm (No. 6)
Asymmetric unit:
Zn: 0.000 0.000 0.000 (multiplicity 1)
Zn: 0.168 0.500 0.247 (multiplicity 1)
In: 0.829 0.000 0.514 (multiplicity 1)
Tc: 0.446 0.500 0.795 (multiplicity 1)

Values from the calculation:
DOS(E_F)   2.0 states/eV/f.u.
Energy of formation from the pure elements   0.211 eV/atom


No. 5
VASP calculation (PBE-GGA) on a relaxed structure of Na2AlF6.

Lattice parameters (Å, degrees): 9.027 3.024 9.129 90.00 107.67 90.00
Space group C2/m (No. 12)
Asymmetric unit:
Na: 0.036 0.000 0.340 (multiplicity 4)
Al: 0.000 0.500 0.000 (multiplicity 2)
F: 0.110 0.500 0.197 (multiplicity 4)
F: 0.111 0.000 0.956 (multiplicity 4)
F: 0.112 0.500 0.558 (multiplicity 4)

Values from the calculation:
Polymorph energy (0 for the lowest one)   0.060 eV/atom


No. 6
VASP calculation (PBE-GGA) on a relaxed structure of H2S2Cl.

Lattice parameters (Å, degrees): 7.123 7.123 3.170 90.00 90.00 90.00
Space group P4/mbm (No. 127)
Asymmetric unit:
H: 0.208 0.292 0.000 (multiplicity 4)
S: 0.244 0.744 0.500 (multiplicity 4)
Cl: 0.000 0.000 0.500 (multiplicity 2)

Values from the calculation:
Polymorph energy (0 for the lowest one)   0.000 eV/atom
DOS(E_F)   1.7 states/eV/f.u.


No. 7
VASP calculation (PBE-GGA) on a relaxed structure of Eu3Bi5O12.

Lattice parameters (Å, degrees): 14.045 14.045 14.045 90.00 90.00 90.00
Space group Ia-3d (No. 230)
Asymmetric unit:
Eu: 0.000 0.250 0.125 (multiplicity 24)
Bi: 0.000 0.000 0.000 (multiplicity 16)
Bi: 0.000 0.250 0.375 (multiplicity 24)
O: 0.021 0.065 0.653 (multiplicity 96)

Values from the calculation:
DOS(E_F)   38.0 states/eV/f.u.
Uncorrected energy   -7.150 eV per atom


No. 8
VASP calculation (PBE-GGA) on a relaxed structure of Mg2CdCl.

Lattice parameters (Å, degrees): 4.116 4.116 11.177 90.00 90.00 90.00
Space group I-4m2 (No. 119)
Asymmetric unit:
Mg: 0.000 0.000 0.000 (multiplicity 2)
Mg: 0.000 0.500 0.250 (multiplicity 2)
Cd: 0.000 0.500 0.750 (multiplicity 2)
Cl: 0.000 0.000 0.500 (multiplicity 2)

Values from the calculation:
Polymorph energy (0 for the lowest one)   0.281 eV/atom
DOS(E_F)   1.3 states/eV/f.u.


No. 9
VASP calculation (PBE-GGA) on a relaxed structure of KTaRu.

Lattice parameters (Å, degrees): 3.292 5.036 15.963 90.00 90.00 90.00
Space group Fmm2 (No. 42)
Asymmetric unit:
K: 0.000 0.000 0.000 (multiplicity 4)
Ta: 0.000 0.000 0.707 (multiplicity 4)
Ru: 0.000 0.000 0.322 (multiplicity 4)

Values from the calculation:
Polymorph energy (0 for the lowest one)   0.154 eV/atom
DOS(E_F)   4.2 states/eV/f.u.
Energy of formation from the pure elements   0.714 eV/atom


No. 10
VASP calculation (PBE-GGA) on a relaxed structure of Tm2MnRe3.

Lattice parameters (Å, degrees): 5.2839 5.2839 13.4319 90.00 90.00 120.00
Space group R-3m (No. 166, hexagonal axes)
Asymmetric unit:
Tm: 0.0000 0.0000 0.1242 (multiplicity 6)
Mn: 0.0000 0.0000 0.5000 (multiplicity 3)
Re: 0.0000 0.5000 0.0000 (multiplicity 9)

Values from the calculation:
DOS(E_F)   5.3 states/eV/f.u.
Energy of formation from the pure elements   -0.217 eV/atom